Record 1
VASP calculation (PBE) on an optimized crystal structure of CaErZn4.

Computed properties:
calculated formation energy	-0.272	eV per atom
symmetry	F-43m
theoretical density	6.69	g cm⁻³

Geometry as POSCAR:
```
CaErZn4
1.0
0.0000 3.8747 3.8747
3.8747 0.0000 3.8747
3.8747 3.8747 0.0000
Ca Er Zn
1 1 4
Cartesian
0.0000 0.0000 0.0000
5.8120 5.8120 5.8120
2.9123 2.9123 2.9123
4.8371 4.8371 2.9123
4.8371 2.9123 4.8371
2.9123 4.8371 4.8371
```

***

Record 2
VASP calculation (PBE) on an optimized crystal structure of NaSnHg.

Computed properties:
calculated formation energy	-0.135	eV per atom
symmetry	F-43m
theoretical density	6.75	g cm⁻³

Geometry as POSCAR:
```
NaSnHg
1.0
0.0000 3.4784 3.4784
3.4784 0.0000 3.4784
3.4784 3.4784 0.0000
Na Sn Hg
1 1 1
Cartesian
0.0000 0.0000 0.0000
3.4784 3.4784 3.4784
5.2176 5.2176 5.2176
```

***

Record 3
VASP calculation (PBE) on an optimized crystal structure of Pu2GaCo.

Computed properties:
calculated formation energy	0.367	eV per atom
symmetry	R-3m
theoretical density	13.29	g cm⁻³

Geometry as POSCAR:
```
Pu2GaCo
1.0
1.4441 0.8338 10.6681
-1.4441 0.8338 10.6681
0.0000 -1.6675 10.6681
Pu Ga Co
2 1 1
Cartesian
0.0000 0.0000 3.0483
0.0000 0.0000 28.9562
0.0000 0.0000 0.0000
0.0000 0.0000 16.0022
```

***

Record 4
VASP calculation (PBE) on an optimized crystal structure of Na2TaHgBr.

Computed properties:
formation energy without anion corrections	74.4	kJ per mole of atoms
symmetry	P4/mmm
theoretical density	5.06	g cm⁻³

Geometry as POSCAR:
```
Na2TaHgBr
1.0
5.0766 0.0000 0.0000
0.0000 5.0766 0.0000
0.0000 0.0000 6.4635
Na Ta Hg Br
2 1 1 1
Cartesian
0.0000 2.5383 0.0000
2.5383 0.0000 0.0000
0.0000 0.0000 3.2317
2.5383 2.5383 3.2317
2.5383 2.5383 0.0000
```

***

Record 5
VASP calculation (PBE) on an optimized crystal structure of YHoSc.

Computed properties:
calculated formation energy	0.077	eV per atom
symmetry	P-6m2
theoretical density	5.67	g cm⁻³

Geometry as POSCAR:
```
YHoSc
1.0
5.4389 0.0000 0.0000
-2.7194 4.7102 0.0000
0.0000 0.0000 3.4129
Y Ho Sc
1 1 1
Cartesian
0.0000 0.0000 0.0000
0.0000 3.1401 1.7064
2.7194 1.5701 1.7064
```

***

Record 6
VASP calculation (PBE) on an optimized crystal structure of Y6Zn5Ni.

Computed properties:
calculated formation energy	-0.359	eV per atom
symmetry	Cmmm
theoretical density	5.69	g cm⁻³

Geometry as POSCAR:
```
Y6Zn5Ni
1.0
2.5122 -7.5183 0.0000
2.5122 7.5183 0.0000
0.0000 0.0000 7.1012
Y Zn Ni
6 5 1
Cartesian
0.0000 0.0000 1.7167
0.0000 0.0000 5.3844
2.5122 2.4429 1.7480
2.5122 2.4429 5.3532
2.5122 -2.4429 1.7480
2.5122 -2.4429 5.3532
2.5122 4.9776 3.5506
2.5122 4.9238 0.0000
2.5122 0.0000 3.5506
2.5122 -4.9238 0.0000
2.5122 -4.9776 3.5506
2.5122 0.0000 0.0000
```

***

Record 7
VASP calculation (PBE) on an optimized crystal structure of KTlSe2Br.

Computed properties:
formation energy without anion corrections	10.5	kJ per mole of atoms
symmetry	P4/mmm
theoretical density	3.60	g cm⁻³

Geometry as POSCAR:
```
KTlSe2Br
1.0
6.0554 0.0000 0.0000
0.0000 6.0554 0.0000
0.0000 0.0000 6.0562
K Tl Se Br
1 1 2 1
Cartesian
0.0000 0.0000 0.0000
3.0277 3.0277 3.0281
0.0000 3.0277 0.0000
3.0277 0.0000 0.0000
0.0000 0.0000 3.0281
```

***

Record 8
VASP calculation (PBE) on an optimized crystal structure of Ac2CdAg5.

Computed properties:
calculated formation energy	-0.225	eV per atom
symmetry	Cmcm
theoretical density	8.89	g cm⁻³

Geometry as POSCAR:
```
Ac2CdAg5
1.0
2.3692 -8.6733 0.0000
2.3692 8.6733 0.0000
0.0000 0.0000 10.0528
Ac Cd Ag
4 2 10
Cartesian
0.0000 0.0000 0.0000
0.0000 0.0000 5.0264
2.3692 5.0881 7.5396
2.3692 -5.0881 2.5132
2.3692 0.9815 2.5132
2.3692 -0.9815 7.5396
2.3692 5.5142 1.1098
2.3692 5.5142 3.9166
2.3692 2.6414 0.2435
2.3692 2.6414 4.7829
2.3692 1.7806 7.5396
2.3692 -1.7806 2.5132
2.3692 -2.6414 5.2699
2.3692 -2.6414 9.8093
2.3692 -5.5142 6.1362
2.3692 -5.5142 8.9430
```

***

Record 9
VASP calculation (PBE) on an optimized crystal structure of CePm2Th2.

Computed properties:
calculated formation energy	0.025	eV per atom
symmetry	R-3m
theoretical density	9.27	g cm⁻³

Geometry as POSCAR:
```
CePm2Th2
1.0
1.7823 1.0290 14.5493
-1.7823 1.0290 14.5493
0.0000 -2.0580 14.5493
Ce Pm Th
1 2 2
Cartesian
0.0000 0.0000 0.0000
0.0000 0.0000 8.8630
0.0000 0.0000 34.7850
0.0000 0.0000 17.3371
0.0000 0.0000 26.3109
```

***

Record 10
VASP calculation (PBE) on an optimized crystal structure of TbNdTm2As4.

Computed properties:
calculated formation energy	-1.507	eV per atom
symmetry	P2/m
theoretical density	7.81	g cm⁻³

Geometry as POSCAR:
```
TbNdTm2As4
1.0
7.1589 0.0000 0.0000
0.0000 4.1389 0.0000
-2.3896 0.0000 6.7541
Tb Nd Tm As
1 1 2 4
Cartesian
0.0000 0.0000 0.0000
-1.1948 2.0694 3.3770
2.3846 0.0000 3.3770
3.5794 2.0694 0.0000
1.2493 2.0694 1.6813
0.0540 0.0000 5.1138
4.7153 0.0000 1.6403
3.5200 2.0694 5.0728
```

***

Record 11
VASP calculation (PBE) on an optimized crystal structure of Cs12Hg3H5.

Computed properties:
symmetry	Ia-3d
theoretical density	3.53	g cm⁻³

Geometry as POSCAR:
```
Cs12Hg3H5
1.0
-10.1161 10.1161 10.1161
10.1161 -10.1161 10.1161
10.1161 10.1161 -10.1161
Cs Hg H
48 12 20
Cartesian
3.0235 -0.6460 0.9941
12.1507 6.0521 -5.7041
13.1396 0.6460 0.9941
12.1507 -4.0640 5.7041
9.4701 -0.9941 3.0235
15.8202 -2.0346 4.0640
0.9941 3.0235 -0.6460
14.1801 4.4120 -2.0346
6.0521 5.7041 -2.0346
9.1220 3.0235 0.6460
-0.6460 0.9941 3.0235
5.7041 -2.0346 6.0521
9.4701 9.1220 -3.0235
5.7041 2.0346 4.0640
6.0521 -5.7041 12.1507
9.1220 -3.0235 9.4701
4.0640 5.7041 2.0346
11.1102 7.0926 0.6460
5.7041 12.1507 -4.0640
9.4701 0.9941 7.0926
3.0235 9.4701 -0.9941
12.1507 4.0640 4.4120
2.0346 4.0640 5.7041
3.0235 0.6460 9.1220
7.0926 9.4701 0.9941
8.0815 6.0521 4.4120
-2.0346 6.0521 5.7041
7.0926 0.6460 11.1102
0.6460 9.1220 3.0235
4.4120 -2.0346 14.1801
-0.9941 3.0235 9.4701
6.0521 4.4120 8.0815
0.9941 13.1396 0.6460
4.0640 15.8202 -2.0346
4.4120 8.0815 6.0521
0.6460 0.9941 13.1396
4.4120 12.1507 4.0640
10.7621 9.1220 7.0926
0.9941 7.0926 9.4701
4.0640 4.4120 12.1507
-4.0640 5.7041 12.1507
9.1220 7.0926 10.7621
-5.7041 12.1507 6.0521
0.6460 11.1102 7.0926
-2.0346 14.1801 4.4120
-3.0235 9.4701 9.1220
-2.0346 4.0640 15.8202
7.0926 10.7621 9.1220
5.0580 2.5290 0.0000
10.1161 5.0580 -2.5290
2.5290 0.0000 5.0580
12.6451 0.0000 5.0580
0.0000 5.0580 2.5290
5.0580 -2.5290 10.1161
5.0580 12.6451 0.0000
10.1161 5.0580 7.5871
-2.5290 10.1161 5.0580
7.5871 10.1161 5.0580
0.0000 5.0580 12.6451
5.0580 7.5871 10.1161
0.0000 0.0000 0.0000
5.0580 5.0580 -5.0580
5.0580 -5.0580 5.0580
10.1161 0.0000 0.0000
15.1741 2.5290 0.0000
10.1161 -5.0580 7.5871
7.5871 10.1161 -5.0580
7.5871 0.0000 5.0580
5.0580 7.5871 0.0000
10.1161 5.0580 2.5290
-5.0580 5.0580 5.0580
0.0000 10.1161 0.0000
0.0000 0.0000 10.1161
5.0580 5.0580 5.0580
0.0000 5.0580 7.5871
5.0580 2.5290 10.1161
2.5290 10.1161 5.0580
2.5290 0.0000 15.1741
0.0000 15.1741 2.5290
-5.0580 7.5871 10.1161
```

***

Record 12
VASP calculation (PBE) on an optimized crystal structure of NpO2F.

Computed properties:
formation energy without anion corrections	-214.3	kJ per mole of atoms
symmetry	P4/mmm
theoretical density	11.31	g cm⁻³

Geometry as POSCAR:
```
NpO2F
1.0
3.5746 0.0000 0.0000
0.0000 3.5746 0.0000
0.0000 0.0000 3.3084
Np O F
1 2 1
Cartesian
0.0000 0.0000 0.0000
0.0000 1.7873 1.6542
1.7873 0.0000 1.6542
1.7873 1.7873 0.0000
```

***

Record 13
VASP calculation (PBE) on an optimized crystal structure of LaTb5Pm2.

Computed properties:
calculated formation energy	0.028	eV per atom
symmetry	P-1
theoretical density	7.55	g cm⁻³

Geometry as POSCAR:
```
LaTb5Pm2
1.0
8.5843 0.0000 0.0000
-3.1654 10.8435 0.0000
-3.8958 -2.3432 11.5619
La Tb Pm
4 20 8
Cartesian
-1.7545 3.9673 2.1051
-2.9559 2.1149 8.0196
4.4790 6.3854 3.5424
3.2775 4.5331 9.4569
-3.7197 9.9144 2.9386
-4.1274 7.0306 7.1723
0.5799 1.5453 0.6526
-1.3757 7.5107 1.5045
-1.7738 4.6076 5.7324
-4.1454 7.6614 10.7890
0.9807 5.0688 0.0741
-1.3891 8.1078 5.1270
-1.7718 5.2564 9.3380
0.9542 5.6824 3.6871
0.5688 2.8179 7.8749
3.2949 3.2439 2.2240
2.9122 0.3925 6.4349
0.5424 3.4315 11.4879
5.6684 0.8389 0.7729
3.2968 3.8927 5.8295
2.8988 0.9896 10.0574
0.9431 6.9550 10.9093
5.6504 1.4697 4.3896
5.2428 -1.4141 8.6233
-0.5839 -0.3225 6.5675
0.6028 2.1791 4.2749
-0.5913 0.3116 10.1870
2.9498 -0.2449 2.8271
-1.4267 8.7452 8.7349
2.1144 8.1887 1.3749
0.9203 6.3212 7.2870
2.1069 8.8228 4.9944
```

***

Record 14
VASP calculation (PBE) on an optimized crystal structure of Er2In8Cu.

Computed properties:
calculated formation energy	-0.260	eV per atom
symmetry	P4/mmm
theoretical density	8.25	g cm⁻³

Geometry as POSCAR:
```
Er2In8Cu
1.0
4.6714 0.0000 0.0000
0.0000 4.6714 0.0000
0.0000 0.0000 12.1507
Er In Cu
2 8 1
Cartesian
0.0000 0.0000 2.3203
0.0000 0.0000 9.8304
0.0000 2.3357 0.0000
0.0000 2.3357 4.5476
0.0000 2.3357 7.6031
2.3357 0.0000 0.0000
2.3357 0.0000 4.5476
2.3357 0.0000 7.6031
2.3357 2.3357 2.3254
2.3357 2.3357 9.8253
0.0000 0.0000 6.0753
```

***

Record 15
VASP calculation (PBE) on an optimized crystal structure of Cu5Mo4.

Computed properties:
calculated formation energy	0.413	eV per atom
symmetry	P6_3/mcm
theoretical density	9.26	g cm⁻³

Geometry as POSCAR:
```
Cu5Mo4
1.0
7.4485 0.0000 0.0000
-3.7242 6.4506 0.0000
0.0000 0.0000 5.2342
Cu Mo
10 8
Cartesian
-1.2637 2.1889 1.3085
-2.4605 4.2617 3.9256
0.0000 4.3004 0.0000
0.0000 4.3004 2.6171
2.5275 0.0000 1.3085
1.2637 2.1889 3.9256
4.9210 0.0000 3.9256
2.4605 4.2617 1.3085
3.7242 2.1502 0.0000
3.7242 2.1502 2.6171
0.0000 0.0000 0.0000
0.0000 0.0000 2.6171
-1.2244 2.1207 3.9256
-2.4999 4.3299 1.3085
2.4487 0.0000 3.9256
1.2244 2.1207 1.3085
4.9998 0.0000 1.3085
2.4999 4.3299 3.9256
```

***

Record 16
VASP calculation (PBE) on an optimized crystal structure of HoNp2F11.

Computed properties:
formation energy without anion corrections	-352.1	kJ per mole of atoms
symmetry	Ibam
theoretical density	5.92	g cm⁻³

Geometry as POSCAR:
```
HoNp2F11
1.0
-4.2103 5.1480 5.4840
4.2103 -5.1480 5.4840
4.2103 5.1480 -5.4840
Ho Np F
2 4 22
Cartesian
0.0000 0.0000 2.7420
0.0000 0.0000 8.2261
5.5008 1.8720 0.0000
1.2905 3.2760 0.0000
2.9199 1.8720 5.4840
-1.2905 3.2760 5.4840
4.2103 0.0000 0.0000
4.9664 -3.3420 3.9216
1.8031 -0.7153 1.5100
4.9664 3.3420 -1.5625
6.6175 0.7153 1.5100
3.1418 2.1947 0.0000
3.1418 -2.1947 5.4840
2.4072 4.4327 -1.5100
0.7561 1.8059 1.5625
1.8031 0.7153 3.9740
4.9664 3.3420 1.5625
0.0000 5.1480 0.0000
-0.7561 1.8059 3.9216
2.4072 4.4327 1.5100
3.4542 3.3420 3.9216
1.8031 0.7153 6.9941
1.0685 7.3427 0.0000
1.0685 2.9532 5.4840
-2.4072 4.4327 3.9740
-0.7561 1.8059 7.0465
2.4072 5.8632 3.9740
-0.7561 8.4900 1.5625
```

***

Record 17
VASP calculation (PBE) on an optimized crystal structure of ZrAlFe2.

Computed properties:
calculated formation energy	-0.189	eV per atom
symmetry	P4mm
theoretical density	6.35	g cm⁻³

Geometry as POSCAR:
```
ZrAlFe2
1.0
3.0102 0.0000 0.0000
0.0000 3.0102 0.0000
0.0000 0.0000 6.6323
Zr Al Fe
1 1 2
Cartesian
0.0000 0.0000 0.0000
1.5051 1.5051 2.1409
0.0000 0.0000 3.5396
1.5051 1.5051 4.7887
```

***

Record 18
VASP calculation (PBE) on an optimized crystal structure of CrRu2.

Computed properties:
calculated formation energy	0.064	eV per atom
symmetry	Cmcm
theoretical density	10.60	g cm⁻³

Geometry as POSCAR:
```
CrRu2
1.0
1.3542 -6.8856 0.0000
1.3542 6.8856 0.0000
0.0000 0.0000 4.2699
Cr Ru
2 4
Cartesian
1.3542 3.7959 3.2024
1.3542 -3.7959 1.0675
1.3542 5.2659 1.0675
1.3542 0.8286 1.0675
1.3542 -0.8286 3.2024
1.3542 -5.2659 3.2024
```

***

Record 19
VASP calculation (PBE) on an optimized crystal structure of HfTh3N4.

Computed properties:
formation energy without anion corrections	-150.1	kJ per mole of atoms
symmetry	R-3m
theoretical density	12.27	g cm⁻³

Geometry as POSCAR:
```
HfTh3N4
1.0
1.7578 1.0149 11.7657
-1.7578 1.0149 11.7657
0.0000 -2.0298 11.7657
Hf Th N
1 3 4
Cartesian
0.0000 0.0000 0.0000
0.0000 0.0000 8.9625
0.0000 0.0000 17.6485
0.0000 0.0000 26.3346
0.0000 0.0000 4.3071
0.0000 0.0000 12.9386
0.0000 0.0000 22.3584
0.0000 0.0000 30.9900
```

***

| no. | uncorrected energy (eV/atom) |
| --- | --- |
| 1 | -2.215 |
| 2 | -2.009 |
| 3 | -9.332 |
| 4 | -2.522 |
| 5 | -5.714 |
| 6 | -4.604 |
| 7 | -2.313 |
| 8 | -3.149 |
| 9 | -6.030 |
| 10 | -6.125 |
| 11 | -1.472 |
| 12 | -8.404 |
| 13 | -4.670 |
| 14 | -3.454 |
| 15 | -6.676 |
| 16 | -7.295 |
| 17 | -7.493 |
| 18 | -9.328 |
| 19 | -9.745 |